Computed, not measured: AcDy4Ho6 after structural relaxation at the GGA-PBE level of DFT.

CIF file:
```
data_AcDy4Ho6
_chemical_formula_sum 'Ac4 Dy16 Ho24'
_cell_length_a 5.779
_cell_length_b 9.696
_cell_length_c 25.591
_cell_angle_alpha 90.00
_cell_angle_beta 90.00
_cell_angle_gamma 90.00
_space_group_name_H-M_alt 'C m c m'
_space_group_IT_number 63
_space_group_name_Hall '-C 2c 2'
loop_
_atom_site_label
_atom_site_type_symbol
_atom_site_fract_x
_atom_site_fract_y
_atom_site_fract_z
_atom_site_occupancy
Ac1 Ac 0.000 0.190 0.250 1
Dy1 Dy 0.000 0.157 0.542 1
Dy2 Dy 0.000 0.469 0.622 1
Ho1 Ho 0.000 0.140 0.679 1
Ho2 Ho 0.000 0.190 0.099 1
Ho3 Ho 0.000 0.473 0.750 1
Ho4 Ho 0.000 0.500 0.000 1
```

Calculated values
Total energy, eV/cell: -193.72
Energy above the most stable polymorph in this dataset, meV per atom: 0
Formation energy from the elements, eV per atom: 0.14